No. 1
## BeBiH2Cl (SCAN)

Data for a crystal of BeBiH2Cl relaxed with PBEsol.

a b c (Å): 3.927 3.927 5.080
angles (deg): 90.00 90.00 90.00
Fractional coordinates of all 5 atoms:
Be 0.000 0.000 0.500
Cl 0.500 0.500 0.500
Bi 0.000 0.000 0.000
H 0.000 0.500 0.000
H 0.500 0.000 0.000

Values from the calculation:
For the density of states at the Fermi level, the calculation gives 0.0852 states/eV/atom. As for the total energy: -96.644 eV/cell.

=====

No. 2
## Sr2TaCl (SCAN)

Data for a crystal of Sr2TaCl relaxed with PBEsol.

a b c (Å): 3.400 5.902 5.902
angles (deg): 90.00 90.00 90.00
Each line ends with the local moment (μB).
Fractional coordinates of all 4 atoms:
Sr 0.974 0.000 0.500  0.06
Sr 0.974 0.500 0.000  0.06
Cl 0.078 0.500 0.500  0.02
Ta 0.472 0.000 0.000  1.55

Values from the calculation:
The excess energy over the best structure of this formula in the dataset is 0.0000 eV per atom. For the density of states at the Fermi level, the calculation gives 0.7339 states/eV/atom. Its energy relative to the elements, uncorrected is 0.09 eV per atom. As for the total energy: -118.771 eV/cell.